Record 1
First-principles (PBE) data for a relaxed structure of NaCaP, as listed in the Alexandria database.

```
3
Lattice="4.850 0.000 0.000 0.000 4.534 0.000 0.000 -2.267 3.927" Properties=species:S:1:pos:R:3 pbc="T T T"
P 0.042 0.000 0.000
Ca 1.071 0.000 2.618
Na 3.738 2.267 1.309
```

VASP energy   -3.467 eV/atom
V   86.4 Å³/cell

---

Record 2
First-principles (PBE) data for a relaxed structure of Hg2SbN, as listed in the Alexandria database.

```
4
Lattice="0.478 -4.478 1.936 0.030 -0.575 4.868 -3.809 -2.121 2.241" Properties=species:S:1:pos:R:3 pbc="T T T"
Sb -1.651 -3.587 4.523
Hg -0.825 -1.794 2.261
Hg -2.476 -5.381 6.784
N 0.000 0.000 0.000
```

VASP energy   -1.895 eV/atom
V   83.3 Å³/cell

---

Record 3
First-principles (PBE) data for a relaxed structure of Ca2NdHg6, as listed in the Alexandria database.

```
9
Lattice="-2.721 1.574 -1.623 -2.364 -7.639 -3.443 -3.179 2.465 7.721" Properties=species:S:1:pos:R:3 pbc="T T T"
Ca -2.908 -0.903 3.999
Ca -5.357 -2.697 -1.345
Nd -3.179 2.465 7.721
Hg -3.217 -0.946 0.621
Hg -5.047 -2.654 2.033
Hg -3.475 2.426 4.323
Hg -6.112 -1.828 4.620
Hg -2.152 -1.772 -1.965
Hg -2.425 1.613 1.775
```

VASP energy   -1.617 eV/atom
V   232.2 Å³/cell

---

Record 4
First-principles (PBE) data for a relaxed structure of Lu2BeAl, as listed in the Alexandria database.

```
4
Lattice="3.392 0.000 0.000 0.000 3.392 0.000 0.000 0.000 6.993" Properties=species:S:1:pos:R:3 pbc="T T T"
Be 1.696 1.696 0.000
Lu 0.000 0.000 5.384
Lu 0.000 0.000 1.609
Al 1.696 1.696 3.496
```

VASP energy   -4.310 eV/atom
V   80.5 Å³/cell